No. 1
VASP calculation (PBE) on a geometry-optimized TcMo2Ru structure.

Cell lengths 4.786, 4.786, 4.786 Å; angles 131.43, 131.43, 71.14 degrees
Atoms (fractional coordinates):
Mo 0.000 0.000 0.000
Mo 0.500 0.500 0.000
Ru 0.250 0.750 0.500
Tc 0.750 0.250 0.500

energy relative to the elements	0.121	eV per atom
ΔE to the lowest computed polymorph	0.019	eV per atom
space group	I4/mmm, No. 139
calculated volume	15.1	A^3/atom

=====

No. 2
VASP calculation (PBE) on a geometry-optimized Nd3ErAu2 structure.

Cell lengths 5.102, 7.183, 9.290 Å; angles 90.00, 90.00, 90.00 degrees
Atoms (fractional coordinates):
Nd 0.000 0.493 0.925
Nd 0.000 0.993 0.075
Nd 0.500 0.652 0.166
Nd 0.500 0.152 0.834
Nd 0.000 0.348 0.337
Nd 0.000 0.848 0.663
Er 0.500 0.507 0.574
Er 0.500 0.007 0.426
Au 0.500 0.732 0.840
Au 0.500 0.232 0.160
Au 0.000 0.268 0.650
Au 0.000 0.768 0.350

energy relative to the elements	-0.557	eV per atom
space group	Pmc2_1, No. 26
calculated volume	28.4	A^3/atom

=====

No. 3
VASP calculation (PBE) on a geometry-optimized Tb5Pm3Y4 structure.

Cell lengths 7.173, 11.345, 12.928 Å; angles 151.29, 56.33, 129.28 degrees
Atoms (fractional coordinates):
Tb 0.334 0.668 0.835
Tb 0.500 0.000 0.500
Tb 0.749 0.499 0.000
Tb 0.251 0.501 0.000
Tb 0.666 0.332 0.165
Pm 0.583 0.166 0.333
Pm 0.000 0.000 0.500
Pm 0.417 0.834 0.667
Y 0.917 0.834 0.667
Y 0.833 0.666 0.833
Y 0.167 0.334 0.167
Y 0.083 0.166 0.333

energy relative to the elements	0.016	eV per atom
ΔE to the lowest computed polymorph	0.000	eV per atom
space group	P-1, No. 2
calculated volume	32.6	A^3/atom

=====

No. 4
VASP calculation (PBE) on a geometry-optimized Ti2Ge6W structure.

Cell lengths 4.924, 4.924, 6.764 Å; angles 90.00, 90.00, 120.01 degrees
Atoms (fractional coordinates):
Ti 0.000 0.500 0.667
Ti 0.500 0.500 0.333
Ge 0.831 0.662 0.000
Ge 0.326 0.165 0.667
Ge 0.839 0.165 0.333
Ge 0.169 0.338 0.000
Ge 0.674 0.835 0.667
Ge 0.161 0.835 0.333
W 0.500 0.000 0.000

energy relative to the elements	-0.270	eV per atom
space group	C222, No. 21
calculated volume	15.8	A^3/atom